Entry from the Alexandria database: crystalline CoAu2 at its relaxed geometry (GGA-PBE).

For the final energy, the calculation gives -12.7 eV per cell.

The structure belongs to space group P-3m1 (No. 164); the cell edges are 4.4756, 4.4756 and 2.7927 Å and the angles 90.00°, 90.00° and 120.00°. The distinct sites, in fractional coordinates, are Co at (0.0000, 0.0000, 0.0000) and Au at (0.3333, 0.6667, 0.3014).

Entry from the Alexandria database: crystalline SrReW2 at its relaxed geometry (GGA-PBE).

The calculation puts the energy above the most stable polymorph in this dataset at 192 meV per atom.

The structure belongs to space group R3m (No. 160, hexagonal axes); the cell edges are 3.0038, 3.0038 and 29.3988 Å and the angles 90.00°, 90.00° and 120.00°. The distinct sites, in fractional coordinates, are Sr at (0.0000, 0.0000, 0.0000), Re at (0.0000, 0.0000, 0.7616), W at (0.0000, 0.0000, 0.2364) and W at (0.0000, 0.0000, 0.4959).

Entry from the Alexandria database: crystalline Nd2YTm2 at its relaxed geometry (GGA-PBE).

The calculation puts the energy above the most stable polymorph in this dataset at 93 meV per atom.

The structure belongs to space group Imma (No. 74); the cell edges are 3.668, 5.691 and 31.578 Å and the angles 90.00°, 90.00° and 90.00°. The distinct sites, in fractional coordinates, are Nd at (0.000, 0.250, 0.023), Nd at (0.000, 0.250, 0.124), Y at (0.000, 0.250, 0.583), Tm at (0.000, 0.250, 0.290) and Tm at (0.000, 0.250, 0.802).

Entry from the Alexandria database: crystalline In2Ag2Te at its relaxed geometry (GGA-PBE).

For the raw formation energy, the calculation gives 0.042 eV/atom. The calculation puts the energy above the most stable polymorph in this dataset at 42 meV per atom.

The structure belongs to space group I4/mmm (No. 139); the cell edges are 3.969, 3.969 and 15.844 Å and the angles 90.00°, 90.00° and 90.00°. The distinct sites, in fractional coordinates, are In at (0.000, 0.000, 0.105), Ag at (0.000, 0.500, 0.250) and Te at (0.000, 0.000, 0.500).

Entry from the Alexandria database: crystalline SrCo2SiAs at its relaxed geometry (GGA-PBE).

For the raw formation energy, the calculation gives 0.179 eV/atom.

The structure belongs to space group P4/mmm (No. 123); the cell edges are 4.413, 4.413 and 5.083 Å and the angles 90.00°, 90.00° and 90.00°. The distinct sites, in fractional coordinates, are Sr at (0.000, 0.000, 0.000), Co at (0.000, 0.500, 0.500), Si at (0.500, 0.500, 0.500) and As at (0.500, 0.500, 0.000).

Entry from the Alexandria database: crystalline PmSmFeCu at its relaxed geometry (GGA-PBE).

For the final energy, the calculation gives -87.0 eV per cell.

The structure belongs to space group F-43m (No. 216); the cell edges are 7.005, 7.005 and 7.005 Å and the angles 90.00°, 90.00° and 90.00°. The distinct sites, in fractional coordinates, are Pm at (0.000, 0.000, 0.000), Sm at (0.000, 0.000, 0.500), Fe at (0.250, 0.250, 0.250) and Cu at (0.250, 0.250, 0.750).

Entry from the Alexandria database: crystalline FeIr2Au at its relaxed geometry (GGA-PBE).

The calculation puts the energy above the most stable polymorph in this dataset at 42 meV per atom.

The structure belongs to space group P4/mmm (No. 123); the cell edges are 2.749, 2.749 and 7.707 Å and the angles 90.00°, 90.00° and 90.00°. The distinct sites, in fractional coordinates, are Fe at (0.000, 0.000, 0.000), Ir at (0.500, 0.500, 0.217) and Au at (0.000, 0.000, 0.500).

Entry from the Alexandria database: crystalline Pr3Si2Ge4 at its relaxed geometry (GGA-PBE).

For the raw formation energy, the calculation gives -0.574 eV/atom.

The structure belongs to space group C2/m (No. 12); the cell edges are 11.494, 4.137 and 9.005 Å and the angles 90.00°, 105.99° and 90.00°. The distinct sites, in fractional coordinates, are Pr at (0.000, 0.000, 0.000), Pr at (0.168, 0.500, 0.662), Si at (0.113, 0.500, 0.274), Ge at (0.054, 0.000, 0.385) and Ge at (0.220, 0.500, 0.066).